Arrangement P

The following is a DFT calculation (PBE-GGA) of a relaxed structure of TcHgF3.

a b c (Å): 6.1449 6.1449 6.1449
angles (deg): 114.32 110.79 103.49
Closest atoms and distances in Å follow each position.
Fractional positions:
1 Tc 0.0000 0.1696 0.1696  4 F 1.94-2.15
2 Tc 0.0000 0.8304 0.8304  4 F 1.94-2.15
3 Hg 0.2397 0.7397 0.5000  4 F 2.86, 2 Tc 2.86
4 Hg 0.7603 0.2603 0.5000  4 F 2.86, 2 Tc 2.86
5 F 0.2397 0.2397 0.0000  2 Tc 2.15
6 F 0.2769 0.2024 0.4793  1 Tc 1.94
7 F 0.2769 0.7976 0.0745  1 Tc 1.94
8 F 0.7231 0.2024 0.9255  1 Tc 1.94
9 F 0.7231 0.7976 0.5207  1 Tc 1.94
10 F 0.7603 0.7603 0.0000  2 Tc 2.15

Computed properties:
* total magnetization: 2.1 μB/cell


Arrangement Q

The following is a DFT calculation (PBE-GGA) of a relaxed structure of TcHgF3.

a b c (Å): 4.5629 4.5629 4.5629
angles (deg): 90.00 90.00 90.00
Closest atoms and distances in Å follow each position.
Fractional positions:
1 Tc 0.0000 0.0000 0.0000  12 F 3.23
2 Hg 0.5000 0.5000 0.5000  6 F 2.28
3 F 0.0000 0.5000 0.5000  2 Hg 2.28
4 F 0.5000 0.0000 0.5000  2 Hg 2.28
5 F 0.5000 0.5000 0.0000  2 Hg 2.28

Computed properties:
* total magnetization: 4.7 μB/cell


Arrangement R

The following is a DFT calculation (PBE-GGA) of a relaxed structure of TcHgF3.

a b c (Å): 4.3461 4.3461 4.3461
angles (deg): 90.00 90.00 90.00
Closest atoms and distances in Å follow each position.
Fractional positions:
1 Tc 0.0000 0.0000 0.0000  6 F 2.17
2 Hg 0.5000 0.5000 0.5000  12 F 3.07
3 F 0.0000 0.0000 0.5000  2 Tc 2.17
4 F 0.0000 0.5000 0.0000  2 Tc 2.17
5 F 0.5000 0.0000 0.0000  2 Tc 2.17

Computed properties:
* total magnetization: 4.0 μB/cell


Energetically preferred structure: arrangement P | next structure: +85 meV/atom


Arrangement P

The following is a DFT calculation (PBE-GGA) of a relaxed structure of HgTeF6.

a b c (Å): 5.5883 5.5883 10.6618
angles (deg): 90.00 90.00 120.00
Closest atoms and distances in Å follow each position.
Fractional positions:
1 Hg 0.3333 0.6667 0.2500  6 F 2.35
2 Hg 0.6667 0.3333 0.7500  6 F 2.35
3 Te 0.0000 0.0000 0.0000  6 F 2.09
4 Te 0.0000 0.0000 0.5000  6 F 2.09
5 F 0.0268 0.3144 0.1149  1 Te 2.09
6 F 0.0268 0.7124 0.3851  1 Te 2.09
7 F 0.2876 0.3144 0.3851  1 Te 2.09
8 F 0.2876 0.9732 0.1149  1 Te 2.09
9 F 0.3144 0.0268 0.6149  1 Te 2.09
10 F 0.3144 0.2876 0.8851  1 Te 2.09
11 F 0.6856 0.7124 0.1149  1 Te 2.09
12 F 0.6856 0.9732 0.3851  1 Te 2.09
13 F 0.7124 0.0268 0.8851  1 Te 2.09
14 F 0.7124 0.6856 0.6149  1 Te 2.09
15 F 0.9732 0.2876 0.6149  1 Te 2.09
16 F 0.9732 0.6856 0.8851  1 Te 2.09

Computed properties:
* total magnetization: 0.0 μB/cell


Arrangement Q

The following is a DFT calculation (PBE-GGA) of a relaxed structure of HgTeF6.

a b c (Å): 5.6988 8.7361 5.6444
angles (deg): 90.00 101.51 90.00
Closest atoms and distances in Å follow each position.
Fractional positions:
1 Hg 0.0000 0.0000 0.0000  6 F 2.33-2.38
2 Hg 0.5000 0.5000 0.0000  6 F 2.33-2.38
3 Te 0.0000 0.5000 0.5000  6 F 2.07-2.10
4 Te 0.5000 0.0000 0.5000  6 F 2.07-2.10
5 F 0.2176 0.3469 0.7332  1 Te 2.10
6 F 0.2176 0.6531 0.7332  1 Te 2.10
7 F 0.2453 0.5000 0.2746  1 Te 2.07
8 F 0.2547 0.0000 0.7254  1 Te 2.07
9 F 0.2824 0.1531 0.2668  1 Te 2.10
10 F 0.2824 0.8469 0.2668  1 Te 2.10
11 F 0.7176 0.1531 0.7332  1 Te 2.10
12 F 0.7176 0.8469 0.7332  1 Te 2.10
13 F 0.7453 0.0000 0.2746  1 Te 2.07
14 F 0.7547 0.5000 0.7254  1 Te 2.07
15 F 0.7824 0.3469 0.2668  1 Te 2.10
16 F 0.7824 0.6531 0.2668  1 Te 2.10

Computed properties:
* total magnetization: 0.0 μB/cell


Energetically preferred structure: arrangement P | next structure: +32 meV/atom


Arrangement P

The following is a DFT calculation (PBE-GGA) of a relaxed structure of HgTe3F.

a b c (Å): 5.0347 5.0347 5.0347
angles (deg): 90.00 90.00 90.00
Closest atoms and distances in Å follow each position.
Fractional positions:
1 Hg 0.0000 0.0000 0.0000  12 Te 3.56
2 Te 0.0000 0.5000 0.5000  2 F 2.52
3 Te 0.5000 0.0000 0.5000  2 F 2.52
4 Te 0.5000 0.5000 0.0000  2 F 2.52
5 F 0.5000 0.5000 0.5000  6 Te 2.52

Computed properties:
* total magnetization: 0.0 μB/cell


Arrangement Q

The following is a DFT calculation (PBE-GGA) of a relaxed structure of HgTe3F.

a b c (Å): 5.5503 5.5503 5.5503
angles (deg): 90.00 90.00 90.00
Closest atoms and distances in Å follow each position.
Fractional positions:
1 Hg 0.0000 0.0000 0.0000  6 Te 2.78
2 Te 0.0000 0.0000 0.5000  2 Hg 2.78
3 Te 0.0000 0.5000 0.0000  2 Hg 2.78
4 Te 0.5000 0.0000 0.0000  2 Hg 2.78
5 F 0.5000 0.5000 0.5000  12 Te 3.92

Computed properties:
* total magnetization: 0.0 μB/cell


Energetically preferred structure: arrangement P | next structure: +454 meV/atom


Arrangement P

The following is a DFT calculation (PBE-GGA) of a relaxed structure of Hg2TeF.

a b c (Å): 4.7464 5.0996 5.1139
angles (deg): 70.44 77.19 74.31
Closest atoms and distances in Å follow each position.
Fractional positions:
1 Hg 0.0000 0.0000 0.0000  1 F 2.32
2 Hg 0.4321 0.6521 0.7039  1 F 2.55, 1 Te 2.76, 1 Hg 2.85
3 Te 0.0169 0.4884 0.4857  4 Hg 2.76-2.96, 1 F 2.94
4 F 0.5257 0.2287 0.1395  2 Hg 2.32-2.55

Computed properties:
* total magnetization: 0.0 μB/cell


Arrangement Q

The following is a DFT calculation (PBE-GGA) of a relaxed structure of Hg2TeF.

a b c (Å): 5.7490 6.3340 7.1666
angles (deg): 112.66 93.36 96.38
Closest atoms and distances in Å follow each position.
Fractional positions:
1 Hg 0.0000 0.0000 0.0000  2 F 2.50-2.61, 2 Te 2.73-2.74
2 Hg 0.0825 0.8770 0.4890  1 F 2.82
3 Hg 0.3707 0.5177 0.5868  1 F 2.50, 1 Hg 2.70
4 Hg 0.6740 0.4428 0.3023  1 F 2.58, 1 Hg 2.70, 1 Te 2.84
5 Te 0.2500 0.6561 0.9959  1 F 2.18
6 Te 0.8101 0.3276 0.9041  2 Hg 2.74-2.84, 1 Te 2.96
7 F 0.0188 0.2455 0.3710  3 Hg 2.50-2.58
8 F 0.5644 0.9113 0.0633  1 Te 2.18

Computed properties:
* total magnetization: 0.0 μB/cell


Arrangement R

The following is a DFT calculation (PBE-GGA) of a relaxed structure of Hg2TeF.

a b c (Å): 5.9577 6.2206 6.7560
angles (deg): 65.03 78.41 64.97
Closest atoms and distances in Å follow each position.
Fractional positions:
1 Hg 0.0000 0.0000 0.0000  2 F 2.57-2.71, 2 Te 2.72-2.74
2 Hg 0.1203 0.5349 0.4796  2 F 2.46
3 Hg 0.4009 0.0329 0.4506  1 F 2.50
4 Hg 0.6806 0.4491 0.4349  1 F 2.80, 2 Hg 2.98-3.12
5 Te 0.4904 0.7590 0.9064  2 Hg 2.74-2.85, 1 F 2.78
6 Te 0.4956 0.2146 0.9924  2 Hg 2.72-2.84, 1 F 2.90
7 F 0.0208 0.9884 0.4012  3 Hg 2.46-2.71
8 F 0.9844 0.4584 0.8632  2 Hg 2.46-2.57

Computed properties:
* total magnetization: 0.0 μB/cell


Arrangement S

The following is a DFT calculation (PBE-GGA) of a relaxed structure of Hg2TeF.

a b c (Å): 7.0783 7.0783 7.0783
angles (deg): 90.00 90.00 90.00
Closest atoms and distances in Å follow each position.
Fractional positions:
1 Hg 0.2500 0.2500 0.2500  4 F 3.07, 4 Te 3.07
2 Hg 0.2500 0.2500 0.7500  4 F 3.07, 4 Te 3.07
3 Hg 0.2500 0.7500 0.2500  4 F 3.07, 4 Te 3.07
4 Hg 0.2500 0.7500 0.7500  4 F 3.07, 4 Te 3.07
5 Hg 0.7500 0.2500 0.2500  4 F 3.07, 4 Te 3.07
6 Hg 0.7500 0.2500 0.7500  4 F 3.07, 4 Te 3.07
7 Hg 0.7500 0.7500 0.2500  4 F 3.07, 4 Te 3.07
8 Hg 0.7500 0.7500 0.7500  4 Te 3.07, 4 F 3.07
9 Te 0.0000 0.0000 0.0000  8 Hg 3.07
10 Te 0.0000 0.5000 0.5000  8 Hg 3.07
11 Te 0.5000 0.0000 0.5000  8 Hg 3.07
12 Te 0.5000 0.5000 0.0000  8 Hg 3.07
13 F 0.0000 0.0000 0.5000  8 Hg 3.07
14 F 0.0000 0.5000 0.0000  8 Hg 3.07
15 F 0.5000 0.0000 0.0000  8 Hg 3.07
16 F 0.5000 0.5000 0.5000  8 Hg 3.07

Computed properties:
* total magnetization: 0.0 μB/cell


Energetically preferred structure: arrangement Q | next structure: +65 meV/atom


Arrangement P

The following is a DFT calculation (PBE-GGA) of a relaxed structure of Hg2TeF.

a b c (Å): 5.8763 6.3337 7.2084
angles (deg): 63.98 83.39 83.41
Closest atoms and distances in Å follow each position.
Fractional positions:
1 Hg 0.0000 0.0000 0.0000  1 F 3.09, 3 Hg 3.09-3.39, 1 Te 3.44
2 Hg 0.0264 0.5309 0.9606  1 F 2.52, 1 Hg 2.69
3 Hg 0.3138 0.2966 0.2619  1 F 2.49, 1 Hg 2.69, 1 Te 2.79
4 Hg 0.6831 0.4113 0.6219  2 F 2.55-2.75, 2 Te 2.73-2.75
5 Te 0.5081 0.0231 0.6371  2 Hg 2.73-2.79, 1 Te 2.97
6 Te 0.9365 0.7892 0.5303  1 F 2.20
7 F 0.2573 0.5997 0.4805  1 Te 2.20
8 F 0.6318 0.3966 0.9836  3 Hg 2.49-2.55

Computed properties:
* total magnetization: 0.0 μB/cell


Arrangement Q

The following is a DFT calculation (PBE-GGA) of a relaxed structure of Hg2TeF.

a b c (Å): 5.3185 6.5557 6.7466
angles (deg): 103.18 99.48 91.98
Closest atoms and distances in Å follow each position.
Fractional positions:
1 Hg 0.1670 0.0347 0.3781  2 F 2.61-2.65, 1 Hg 2.70, 1 Te 2.85
2 Hg 0.2197 0.5946 0.6192  2 F 2.53-2.70, 1 Hg 2.69, 1 Te 2.83
3 Hg 0.7803 0.4054 0.3808  2 F 2.53-2.70, 1 Hg 2.69, 1 Te 2.83
4 Hg 0.8330 0.9653 0.6219  2 F 2.61-2.65, 1 Hg 2.70, 1 Te 2.85
5 Te 0.3795 0.1802 0.0695  1 Te 2.77, 2 Hg 2.83-2.85
6 Te 0.6205 0.8198 0.9305  1 Te 2.77, 2 Hg 2.83-2.85
7 F 0.4633 0.7175 0.3703  4 Hg 2.53-2.70
8 F 0.5367 0.2825 0.6297  4 Hg 2.53-2.70

Computed properties:
* total magnetization: 0.0 μB/cell


Arrangement R

The following is a DFT calculation (PBE-GGA) of a relaxed structure of Hg2TeF.

a b c (Å): 5.6295 5.6295 14.5590
angles (deg): 90.00 90.00 90.00
Closest atoms and distances in Å follow each position.
Fractional positions:
1 Hg 0.1942 0.2500 0.1250  2 F 2.55
2 Hg 0.2500 0.6942 0.3750  2 F 2.55
3 Hg 0.2500 0.8058 0.8750  2 F 2.55
4 Hg 0.3058 0.2500 0.6250  2 F 2.55
5 Hg 0.6942 0.7500 0.6250  2 F 2.55
6 Hg 0.7500 0.1942 0.8750  2 F 2.55
7 Hg 0.7500 0.3058 0.3750  2 F 2.55
8 Hg 0.8058 0.7500 0.1250  2 F 2.55
9 Te 0.0000 0.0000 0.5000  4 Hg 2.87
10 Te 0.0000 0.5000 0.7500  4 Hg 2.87
11 Te 0.5000 0.0000 0.2500  4 Hg 2.87
12 Te 0.5000 0.5000 0.0000  4 Hg 2.87
13 F 0.0000 0.0000 0.0000  4 Hg 2.55
14 F 0.0000 0.5000 0.2500  4 Hg 2.55
15 F 0.5000 0.0000 0.7500  4 Hg 2.55
16 F 0.5000 0.5000 0.5000  4 Hg 2.55

Computed properties:
* total magnetization: 0.0 μB/cell


Energetically preferred structure: arrangement P | next structure: +20 meV/atom